Record 1
{"formula": "Mg2Hg2Pd", "functional": "PBE", "state": "relaxed", "cell": [[7.102, 0.000, 0.000], [0.000, 7.102, 0.000], [0.000, 0.000, 4.125]], "species": ["Hg", "Hg", "Hg", "Hg", "Mg", "Mg", "Mg", "Mg", "Pd", "Pd"], "fractional_positions": [[0.845, 0.345, 0.500], [0.155, 0.655, 0.500], [0.345, 0.155, 0.500], [0.655, 0.845, 0.500], [0.846, 0.654, 0.000], [0.346, 0.846, 0.000], [0.154, 0.346, 0.000], [0.654, 0.154, 0.000], [0.500, 0.500, 0.000], [0.000, 0.000, 0.000]], "dos_ef_per_ev_atom": 0.4446, "de_polymorph_ev_per_atom": 0.238, "formation_enthalpy_0k_mev_per_atom": -142, "m_tot_mub_per_fu": 0.0, "space_group": "P4/mbm"}

Record 2
{"formula": "Pr2Sm5ErTh", "functional": "PBE", "state": "relaxed", "cell": [[5.697, 0.000, 0.000], [-2.848, 10.304, 0.000], [0.000, 0.000, 10.595]], "species": ["Th", "Th", "Pr", "Pr", "Pr", "Pr", "Er", "Er", "Sm", "Sm", "Sm", "Sm", "Sm", "Sm", "Sm", "Sm", "Sm", "Sm"], "fractional_positions": [[0.802, 0.603, 0.512], [0.198, 0.397, 0.012], [0.885, 0.770, 0.815], [0.115, 0.230, 0.732], [0.115, 0.230, 0.315], [0.885, 0.770, 0.232], [0.405, 0.811, 0.459], [0.595, 0.189, 0.959], [0.015, 0.030, 0.018], [0.275, 0.550, 0.315], [0.704, 0.409, 0.205], [0.296, 0.591, 0.705], [0.518, 0.036, 0.243], [0.385, 0.771, 0.024], [0.615, 0.229, 0.524], [0.985, 0.970, 0.518], [0.725, 0.450, 0.815], [0.482, 0.964, 0.743]], "dos_ef_per_ev_atom": 1.4683, "formation_enthalpy_0k_mev_per_atom": 148, "m_tot_mub_per_fu": 0.0, "space_group": "Cmc2_1"}

Record 3
{"formula": "Hg4Te", "functional": "PBE", "state": "relaxed", "cell": [[2.702, 1.529, 7.917], [5.503, 5.084, 4.023], [-6.243, -1.253, -5.635]], "species": ["Hg", "Hg", "Hg", "Hg", "Te"], "fractional_positions": [[0.595, 0.595, 0.000], [0.750, 0.250, 0.500], [0.250, 0.750, 0.500], [0.405, 0.405, 0.000], [0.000, 0.000, 0.000]], "dos_ef_per_ev_atom": 0.5447, "de_polymorph_ev_per_atom": 0.000, "e_form_raw_ev_per_atom": 0.11, "m_tot_mub_per_fu": 0.0, "space_group": "I4/mmm"}

Record 4
{"formula": "SiSO", "functional": "PBE", "state": "relaxed", "cell": [[-2.140, -1.578, -1.344], [-1.931, -2.274, 5.746], [-0.379, 3.977, -4.066]], "species": ["S", "Si", "O"], "fractional_positions": [[0.130, 0.298, 0.451], [0.130, 0.815, 0.735], [0.630, 0.826, 0.601]], "dos_ef_per_ev_atom": 0.0541, "de_polymorph_ev_per_atom": 0.052, "e_form_raw_ev_per_atom": -1.36, "m_tot_mub_per_fu": 0.0, "space_group": "Pm"}